Compound: AlCu2Ag
Source: the Alexandria database
Functional: SCAN
Structure: single point on PBEsol structure Values from VASP.

Computed properties:
ΔH_f (0 K): -0.1135 eV per atom
calculated volume: 13.45 Å³ per atom

Cell and atoms, written as Quantum ESPRESSO input:
```
&SYSTEM
  ibrav = 0, nat = 4, ntyp = 3
/
ATOMIC_SPECIES
Al 26.98 Al.upf
Cu 63.55 Cu.upf
Ag 107.87 Ag.upf
CELL_PARAMETERS angstrom
4.539 -1.459 0.000
4.539 1.459 0.000
-1.486 0.000 4.062
ATOMIC_POSITIONS crystal
Al 0.000 0.000 0.000
Cu 0.479 0.479 0.473
Cu 0.742 0.742 0.236
Ag 0.239 0.239 0.732
```

Compound: AlCuAg2
Source: the Alexandria database
Functional: SCAN
Structure: single point on PBEsol structure Values from VASP.

Computed properties:
ΔH_f (0 K): -0.0901 eV per atom
calculated volume: 14.80 Å³ per atom

Cell and atoms, written as Quantum ESPRESSO input:
```
&SYSTEM
  ibrav = 0, nat = 4, ntyp = 3
/
ATOMIC_SPECIES
Al 26.98 Al.upf
Cu 63.55 Cu.upf
Ag 107.87 Ag.upf
CELL_PARAMETERS angstrom
4.710 -1.480 0.000
4.710 1.480 0.000
-1.543 0.000 4.244
ATOMIC_POSITIONS crystal
Al 0.000 0.000 0.000
Cu 0.721 0.721 0.278
Ag 0.247 0.247 0.796
Ag 0.473 0.473 0.477
```

Compound: AlCu2Ag
Source: the Alexandria database
Functional: SCAN
Structure: single point on PBEsol structure Values from VASP.

Computed properties:
ΔH_f (0 K): -0.1456 eV per atom
calculated volume: 13.37 Å³ per atom

Cell and atoms, written as Quantum ESPRESSO input:
```
&SYSTEM
  ibrav = 0, nat = 4, ntyp = 3
/
ATOMIC_SPECIES
Al 26.98 Al.upf
Cu 63.55 Cu.upf
Ag 107.87 Ag.upf
CELL_PARAMETERS angstrom
3.036 0.000 0.000
0.000 3.036 0.000
0.000 0.000 5.802
ATOMIC_POSITIONS crystal
Al 0.000 0.000 0.000
Cu 0.500 0.500 0.229
Cu 0.500 0.500 0.771
Ag 0.000 0.000 0.500
```

Compound: AlCuAg2
Source: the Alexandria database
Functional: SCAN
Structure: single point on PBEsol structure Values from VASP.

Computed properties:
ΔH_f (0 K): -0.0847 eV per atom
calculated volume: 14.80 Å³ per atom

Cell and atoms, written as Quantum ESPRESSO input:
```
&SYSTEM
  ibrav = 0, nat = 4, ntyp = 3
/
ATOMIC_SPECIES
Al 26.98 Al.upf
Cu 63.55 Cu.upf
Ag 107.87 Ag.upf
CELL_PARAMETERS angstrom
-1.509 2.219 4.419
1.509 -2.219 4.419
1.509 2.219 -4.419
ATOMIC_POSITIONS crystal
Al 0.000 0.000 0.000
Cu 0.224 0.724 0.500
Ag 0.474 0.474 0.000
Ag 0.747 0.247 0.500
```

Compound: Al2CuAg
Source: the Alexandria database
Functional: SCAN
Structure: single point on PBEsol structure Values from VASP.

Computed properties:
E above lowest polymorph: 41 meV/atom
ΔH_f (0 K): -0.0969 eV per atom
calculated volume: 14.65 Å³ per atom

Cell and atoms, written as Quantum ESPRESSO input:
```
&SYSTEM
  ibrav = 0, nat = 4, ntyp = 3
/
ATOMIC_SPECIES
Al 26.98 Al.upf
Cu 63.55 Cu.upf
Ag 107.87 Ag.upf
CELL_PARAMETERS angstrom
-2.007 2.007 3.637
2.007 -2.007 3.637
2.007 2.007 -3.637
ATOMIC_POSITIONS crystal
Al 0.250 0.750 0.500
Al 0.750 0.250 0.500
Cu 0.000 0.000 0.000
Ag 0.500 0.500 0.000
```

Compound: Al2CuAg
Source: the Alexandria database
Functional: SCAN
Structure: single point on PBEsol structure Values from VASP.

Computed properties:
E above lowest polymorph: 90 meV/atom
ΔH_f (0 K): -0.0484 eV per atom
calculated volume: 14.83 Å³ per atom

Cell and atoms, written as Quantum ESPRESSO input:
```
&SYSTEM
  ibrav = 0, nat = 4, ntyp = 3
/
ATOMIC_SPECIES
Al 26.98 Al.upf
Cu 63.55 Cu.upf
Ag 107.87 Ag.upf
CELL_PARAMETERS angstrom
2.783 0.000 0.000
0.000 2.783 0.000
0.000 0.000 7.663
ATOMIC_POSITIONS crystal
Al 0.000 0.000 0.000
Al 0.500 0.500 0.273
Cu 0.000 0.000 0.485
Ag 0.500 0.500 0.737
```

Compound: AlCu2Ag
Source: the Alexandria database
Functional: SCAN
Structure: single point on PBEsol structure Values from VASP.

Computed properties:
ΔH_f (0 K): -0.1268 eV per atom
calculated volume: 13.36 Å³ per atom

Cell and atoms, written as Quantum ESPRESSO input:
```
&SYSTEM
  ibrav = 0, nat = 4, ntyp = 3
/
ATOMIC_SPECIES
Al 26.98 Al.upf
Cu 63.55 Cu.upf
Ag 107.87 Ag.upf
CELL_PARAMETERS angstrom
-1.873 1.873 3.810
1.873 -1.873 3.810
1.873 1.873 -3.810
ATOMIC_POSITIONS crystal
Al 0.000 0.000 0.000
Cu 0.250 0.750 0.500
Cu 0.750 0.250 0.500
Ag 0.500 0.500 0.000
```

Compound: AlCu2Ag
Source: the Alexandria database
Functional: SCAN
Structure: single point on PBEsol structure Values from VASP.

Computed properties:
ΔH_f (0 K): -0.1291 eV per atom
calculated volume: 13.37 Å³ per atom

Cell and atoms, written as Quantum ESPRESSO input:
```
&SYSTEM
  ibrav = 0, nat = 4, ntyp = 3
/
ATOMIC_SPECIES
Al 26.98 Al.upf
Cu 63.55 Cu.upf
Ag 107.87 Ag.upf
CELL_PARAMETERS angstrom
-1.868 1.868 3.832
1.868 -1.868 3.832
1.868 1.868 -3.832
ATOMIC_POSITIONS crystal
Al 0.000 0.000 0.000
Cu 0.500 0.500 0.000
Cu 0.750 0.250 0.500
Ag 0.250 0.750 0.500
```

Compound: AlCuAg2
Source: the Alexandria database
Functional: SCAN
Structure: single point on PBEsol structure Values from VASP.

Computed properties:
ΔH_f (0 K): -0.0676 eV per atom
calculated volume: 14.90 Å³ per atom

Cell and atoms, written as Quantum ESPRESSO input:
```
&SYSTEM
  ibrav = 0, nat = 4, ntyp = 3
/
ATOMIC_SPECIES
Al 26.98 Al.upf
Cu 63.55 Cu.upf
Ag 107.87 Ag.upf
CELL_PARAMETERS angstrom
4.189 0.000 0.000
0.000 1.413 5.033
0.000 -1.413 5.033
ATOMIC_POSITIONS crystal
Al 0.000 0.000 0.000
Cu 0.500 0.870 0.870
Ag 0.000 0.266 0.266
Ag 0.500 0.607 0.607
```

Compound: Al2CuAg
Source: the Alexandria database
Functional: SCAN
Structure: single point on PBEsol structure Values from VASP.

Computed properties:
E above lowest polymorph: 32 meV/atom
ΔH_f (0 K): -0.1067 eV per atom
calculated volume: 14.78 Å³ per atom

Cell and atoms, written as Quantum ESPRESSO input:
```
&SYSTEM
  ibrav = 0, nat = 4, ntyp = 3
/
ATOMIC_SPECIES
Al 26.98 Al.upf
Cu 63.55 Cu.upf
Ag 107.87 Ag.upf
CELL_PARAMETERS angstrom
4.310 -1.406 0.000
4.310 1.406 0.000
-1.024 0.000 4.879
ATOMIC_POSITIONS crystal
Al 0.243 0.243 0.234
Al 0.757 0.757 0.766
Cu 0.500 0.500 0.000
Ag 0.000 0.000 0.500
```

Compound: AlCuAg
Source: the Alexandria database
Functional: SCAN
Structure: single point on PBEsol structure Values from VASP.

Computed properties:
E above lowest polymorph: 22 meV/atom
ΔH_f (0 K): -0.1483 eV per atom
calculated volume: 14.19 Å³ per atom

Cell and atoms, written as Quantum ESPRESSO input:
```
&SYSTEM
  ibrav = 0, nat = 3, ntyp = 3
/
ATOMIC_SPECIES
Al 26.98 Al.upf
Cu 63.55 Cu.upf
Ag 107.87 Ag.upf
CELL_PARAMETERS angstrom
-1.464 1.464 4.963
1.464 -1.464 4.963
1.464 1.464 -4.963
ATOMIC_POSITIONS crystal
Al 0.000 0.000 0.000
Cu 0.357 0.357 0.000
Ag 0.681 0.681 0.000
```

Compound: AlCu2Ag
Source: the Alexandria database
Functional: SCAN
Structure: single point on PBEsol structure Values from VASP.

Computed properties:
ΔH_f (0 K): -0.1225 eV per atom
calculated volume: 13.46 Å³ per atom

Cell and atoms, written as Quantum ESPRESSO input:
```
&SYSTEM
  ibrav = 0, nat = 4, ntyp = 3
/
ATOMIC_SPECIES
Al 26.98 Al.upf
Cu 63.55 Cu.upf
Ag 107.87 Ag.upf
CELL_PARAMETERS angstrom
2.869 0.000 0.000
0.000 4.251 0.000
0.000 0.000 4.416
ATOMIC_POSITIONS crystal
Al 0.000 0.000 0.000
Cu 0.500 0.000 0.474
Cu 0.500 0.500 0.116
Ag 0.000 0.500 0.615
```